The following is a DFT calculation (GGA-PBE) of an optimized crystal structure of Zr2CuNiH.

* total magnetization: 0.0000 μB/atom
* symmetry: No. 123
* total energy: -0.2317 hartree per atom

a = 4.430 Å, b = 4.430 Å, c = 3.574 Å
α = 90.00°, β = 90.00°, γ = 90.00°
Atoms (fractional coordinates):
Zr: 0.000 0.500 0.000
Zr: 0.500 0.000 0.000
Cu: 0.000 0.000 0.500
Ni: 0.500 0.500 0.500
H: 0.000 0.000 0.000